No. 1
Compound: Ce3Tl5Au12
Source: Alexandria via LeMat-Bulk
Functional: PBE-GGA
Structure: relaxed

```
data_Ce3Tl5Au12
_cell_length_a 14.6529
_cell_length_b 14.6529
_cell_length_c 14.6529
_cell_angle_alpha 109.47
_cell_angle_beta 109.47
_cell_angle_gamma 109.47
_symmetry_space_group_name_H-M 'P 1'
_symmetry_Int_Tables_number 1
_symmetry_space_group_name_Hall 'P 1'
loop_
_atom_site_label
_atom_site_fract_x
_atom_site_fract_y
_atom_site_fract_z
Ce1 0.1250 0.2500 0.3750
Ce2 0.1250 0.3750 0.7500
Ce3 0.2500 0.3750 0.1250
Ce4 0.2500 0.8750 0.6250
Ce5 0.3750 0.1250 0.2500
Ce6 0.3750 0.7500 0.1250
Ce7 0.6250 0.2500 0.8750
Ce8 0.6250 0.8750 0.7500
Ce9 0.7500 0.1250 0.3750
Ce10 0.7500 0.6250 0.8750
Ce11 0.8750 0.6250 0.2500
Ce12 0.8750 0.7500 0.6250
Tl1 0.0000 0.0000 0.0000
Tl2 0.0000 0.0000 0.5000
Tl3 0.0000 0.5000 0.0000
Tl4 0.0000 0.5000 0.5000
Tl5 0.1250 0.7500 0.8750
Tl6 0.1250 0.8750 0.2500
Tl7 0.2500 0.1250 0.8750
Tl8 0.2500 0.6250 0.3750
Tl9 0.3750 0.2500 0.6250
Tl10 0.3750 0.6250 0.7500
Tl11 0.5000 0.0000 0.0000
Tl12 0.5000 0.0000 0.5000
Tl13 0.5000 0.5000 0.0000
Tl14 0.5000 0.5000 0.5000
Tl15 0.6250 0.3750 0.2500
Tl16 0.6250 0.7500 0.3750
Tl17 0.7500 0.3750 0.6250
Tl18 0.7500 0.8750 0.1250
Tl19 0.8750 0.1250 0.7500
Tl20 0.8750 0.2500 0.1250
Au1 0.0700 0.2279 0.1479
Au2 0.0700 0.3421 0.9221
Au3 0.0779 0.6479 0.4200
Au4 0.0779 0.9300 0.6579
Au5 0.0800 0.7279 0.6579
Au6 0.0800 0.8521 0.4221
Au7 0.1479 0.0700 0.2279
Au8 0.1479 0.5779 0.9200
Au9 0.1579 0.2279 0.5800
Au10 0.1579 0.4300 0.5779
Au11 0.2279 0.1479 0.0700
Au12 0.2279 0.5800 0.1579
Au13 0.2721 0.3421 0.9200
Au14 0.2721 0.4300 0.3521
Au15 0.3421 0.9200 0.2721
Au16 0.3421 0.9221 0.0700
Au17 0.3521 0.2721 0.4300
Au18 0.3521 0.5800 0.9221
Au19 0.4200 0.0779 0.6479
Au20 0.4200 0.8421 0.7721
Au21 0.4221 0.0800 0.8521
Au22 0.4221 0.8421 0.5700
Au23 0.4300 0.3521 0.2721
Au24 0.4300 0.5779 0.1579
Au25 0.5700 0.4221 0.8421
Au26 0.5700 0.6479 0.7279
Au27 0.5779 0.1579 0.4300
Au28 0.5779 0.9200 0.1479
Au29 0.5800 0.1579 0.2279
Au30 0.5800 0.9221 0.3521
Au31 0.6479 0.4200 0.0779
Au32 0.6479 0.7279 0.5700
Au33 0.6579 0.0779 0.9300
Au34 0.6579 0.0800 0.7279
Au35 0.7279 0.5700 0.6479
Au36 0.7279 0.6579 0.0800
Au37 0.7721 0.4200 0.8421
Au38 0.7721 0.8521 0.9300
Au39 0.8421 0.5700 0.4221
Au40 0.8421 0.7721 0.4200
Au41 0.8521 0.4221 0.0800
Au42 0.8521 0.9300 0.7721
Au43 0.9200 0.1479 0.5779
Au44 0.9200 0.2721 0.3421
Au45 0.9221 0.0700 0.3421
Au46 0.9221 0.3521 0.5800
Au47 0.9300 0.6579 0.0779
Au48 0.9300 0.7721 0.8521
```

ΔH_f (0 K) ... -61 meV per atom

---

No. 2
Compound: SrCaZn2In2
Source: Alexandria via LeMat-Bulk
Functional: PBE-GGA
Structure: relaxed

```
data_SrCaZn2In2
_cell_length_a 4.8178
_cell_length_b 4.8178
_cell_length_c 7.7875
_cell_angle_alpha 90.00
_cell_angle_beta 90.00
_cell_angle_gamma 120.00
_symmetry_space_group_name_H-M 'P 1'
_symmetry_Int_Tables_number 1
_symmetry_space_group_name_Hall 'P 1'
loop_
_atom_site_label
_atom_site_fract_x
_atom_site_fract_y
_atom_site_fract_z
Sr1 0.0000 0.0000 0.0000
Ca1 0.0000 0.0000 0.5000
Zn1 0.3333 0.6667 0.7120
Zn2 0.6667 0.3333 0.2880
In1 0.3333 0.6667 0.2823
In2 0.6667 0.3333 0.7177
```

ΔH_f (0 K) ... -363 meV per atom

---

No. 3
Compound: SmInAg
Source: Alexandria via LeMat-Bulk
Functional: PBE-GGA
Structure: relaxed

```
data_SmInAg
_cell_length_a 4.8696
_cell_length_b 4.8696
_cell_length_c 4.8696
_cell_angle_alpha 60.00
_cell_angle_beta 60.00
_cell_angle_gamma 60.00
_symmetry_space_group_name_H-M 'P 1'
_symmetry_Int_Tables_number 1
_symmetry_space_group_name_Hall 'P 1'
loop_
_atom_site_label
_atom_site_fract_x
_atom_site_fract_y
_atom_site_fract_z
Sm1 0.0000 0.0000 0.0000
In1 0.5000 0.5000 0.5000
Ag1 0.2500 0.2500 0.2500
```

ΔH_f (0 K) ... -298 meV per atom